Compound: ZnNiSnO4
Source: the Alexandria database
Functional: PBE with a Hubbard U
Structure: optimized geometry

abc: 6.063 6.155 6.155
angles: 61.62 60.49 60.49
Atoms (fractional coordinates):
O1 0.229 0.755 0.255
O2 0.763 0.757 0.718
O3 0.237 0.243 0.282
O4 0.771 0.245 0.745
O5 0.763 0.218 0.257
O6 0.761 0.755 0.255
O7 0.239 0.245 0.745
O8 0.237 0.782 0.743
Zn1 0.361 0.389 0.889
Zn2 0.639 0.611 0.111
Sn1 0.000 0.500 0.500
Sn2 0.000 0.000 0.000
Ni1 0.500 0.000 0.500
Ni2 0.000 0.000 0.500

Computed properties:
* spin magnetization: 2.00 μB per formula unit
* E: -5.407 eV per atom